No. 1
# ZrInAu2

A geometry-optimized ZrInAu2 structure (PBE, the Open Quantum Materials Database).

Calculated values
Total moment   0.00 μB per formula unit
Energy   -0.178 Ha/atom
Calculated volume   164.28 Å³/cell
Calculated density   12.13 g/cm³

POSCAR file:
```
ZrInAu2
1.0
4.677 0.000 0.000
-2.338 4.050 0.000
0.000 0.000 8.673
Zr In Au
2 2 4
Cartesian
0.000 2.700 2.168
2.338 1.350 6.505
0.000 0.000 0.000
0.000 0.000 4.337
0.000 2.700 5.140
0.000 2.700 7.870
2.338 1.350 0.804
2.338 1.350 3.533
```

***

No. 2
# IrAu2

A geometry-optimized IrAu2 structure (PBE, the Open Quantum Materials Database).

Calculated values
Total moment   0.78 μB per formula unit
Calculated volume   106.79 Å³/cell
Energy of formation from the pure elements   875 meV per atom
Calculated density   18.23 g/cm³

POSCAR file:
```
IrAu2
1.0
0.000 3.766 3.766
3.766 0.000 3.766
3.766 3.766 0.000
Ir Au
2 4
Cartesian
0.941 0.941 0.941
6.590 6.590 6.590
3.766 1.883 1.883
1.883 3.766 1.883
1.883 1.883 3.766
3.766 3.766 3.766
```

***

No. 3
# KIrAuO3

A geometry-optimized KIrAuO3 structure (PBE, the Open Quantum Materials Database).

Calculated values
Total moment   0.63 μB per formula unit
Energy   -0.199 Ha/atom
Calculated volume   379.70 Å³/cell
Calculated density   8.33 g/cm³

POSCAR file:
```
KIrAuO3
1.0
11.154 0.000 0.000
0.000 3.209 0.000
0.000 0.000 10.609
K Ir Au O
4 4 4 12
Cartesian
2.634 0.802 1.639
2.943 2.406 6.944
8.212 0.802 3.665
8.520 2.406 8.970
0.302 0.802 3.995
5.275 2.406 9.300
5.879 0.802 1.309
10.853 2.406 6.614
0.320 0.802 9.669
5.257 2.406 4.365
5.897 0.802 6.244
10.835 2.406 0.940
0.723 2.406 8.299
0.865 0.802 5.959
1.393 2.406 3.473
4.184 0.802 8.777
4.712 2.406 0.654
4.854 0.802 2.995
6.300 2.406 7.615
6.442 0.802 9.955
6.970 2.406 1.832
9.761 0.802 7.137
10.289 2.406 4.651
10.431 0.802 2.310
```

***

No. 4
# KIrAuS3

A geometry-optimized KIrAuS3 structure (PBE, the Open Quantum Materials Database).

Calculated values
Total moment   0.13 μB per formula unit
Energy   -0.169 Ha/atom
Calculated volume   279.97 Å³/cell
Calculated density   6.22 g/cm³

POSCAR file:
```
KIrAuS3
1.0
1.815 -8.198 0.000
1.815 8.198 0.000
0.000 0.000 9.407
K Ir Au S
2 2 2 6
Cartesian
1.815 4.693 7.055
1.815 -4.693 2.352
1.815 0.000 0.000
1.815 0.000 4.704
1.815 6.231 2.352
1.815 -6.231 7.055
1.815 6.603 0.091
1.815 6.603 4.613
1.815 0.684 2.352
1.815 -0.684 7.055
1.815 -6.603 4.794
1.815 -6.603 9.317
```

***

Question: The highest calculated density belongs to which entry?
Answer: IrAu2

***

What did the third record say?
# KIrAuO3

A geometry-optimized KIrAuO3 structure (PBE, the Open Quantum Materials Database).

Calculated values
Total moment   0.63 μB per formula unit
Energy   -0.199 Ha/atom
Calculated volume   379.70 Å³/cell
Calculated density   8.33 g/cm³

POSCAR file:
```
KIrAuO3
1.0
11.154 0.000 0.000
0.000 3.209 0.000
0.000 0.000 10.609
K Ir Au O
4 4 4 12
Cartesian
2.634 0.802 1.639
2.943 2.406 6.944
8.212 0.802 3.665
8.520 2.406 8.970
0.302 0.802 3.995
5.275 2.406 9.300
5.879 0.802 1.309
10.853 2.406 6.614
0.320 0.802 9.669
5.257 2.406 4.365
5.897 0.802 6.244
10.835 2.406 0.940
0.723 2.406 8.299
0.865 0.802 5.959
1.393 2.406 3.473
4.184 0.802 8.777
4.712 2.406 0.654
4.854 0.802 2.995
6.300 2.406 7.615
6.442 0.802 9.955
6.970 2.406 1.832
9.761 0.802 7.137
10.289 2.406 4.651
10.431 0.802 2.310
```

***

Copy entry 3 word for word.
# KIrAuO3

A geometry-optimized KIrAuO3 structure (PBE, the Open Quantum Materials Database).

Calculated values
Total moment   0.63 μB per formula unit
Energy   -0.199 Ha/atom
Calculated volume   379.70 Å³/cell
Calculated density   8.33 g/cm³

POSCAR file:
```
KIrAuO3
1.0
11.154 0.000 0.000
0.000 3.209 0.000
0.000 0.000 10.609
K Ir Au O
4 4 4 12
Cartesian
2.634 0.802 1.639
2.943 2.406 6.944
8.212 0.802 3.665
8.520 2.406 8.970
0.302 0.802 3.995
5.275 2.406 9.300
5.879 0.802 1.309
10.853 2.406 6.614
0.320 0.802 9.669
5.257 2.406 4.365
5.897 0.802 6.244
10.835 2.406 0.940
0.723 2.406 8.299
0.865 0.802 5.959
1.393 2.406 3.473
4.184 0.802 8.777
4.712 2.406 0.654
4.854 0.802 2.995
6.300 2.406 7.615
6.442 0.802 9.955
6.970 2.406 1.832
9.761 0.802 7.137
10.289 2.406 4.651
10.431 0.802 2.310
```